Record 1
A plane-wave DFT calculation with PBE was carried out for a relaxed structure of Ho5AgBi2.

The structure belongs to space group Cmcm (No. 63); the cell edges are 5.662, 11.852 and 14.377 Å and the angles 90.00°, 90.00° and 90.00°. The asymmetric unit holds Ho at (0.000, 0.069, 0.100), Ho at (0.000, 0.381, 0.055), Ho at (0.000, 0.407, 0.750), Ag at (0.000, 0.258, 0.250) and Bi at (0.000, 0.204, 0.614).

The value obtained for the volume is 964.75 Å³ per cell. The value obtained for the total energy is -0.1621 hartree per atom. As for the crystal system: orthorhombic.


Record 2
A plane-wave DFT calculation with PBE was carried out for a relaxed structure of HoAgBi.

The structure belongs to space group I4mm (No. 107); the cell edges are 4.150, 4.150 and 9.235 Å and the angles 90.00°, 90.00° and 90.00°. The asymmetric unit holds Ho at (0.000, 0.000, 0.000), Ag at (0.000, 0.000, 0.331) and Bi at (0.000, 0.000, 0.655).

The value obtained for the volume is 159.01 Å³ per cell. The value obtained for the total energy is -0.1480 hartree per atom. As for the crystal system: tetragonal.


Record 3
A plane-wave DFT calculation with PBE was carried out for a relaxed structure of HoAgBi.

The structure belongs to space group P4/nmm (No. 129, origin choice 2); the cell edges are 4.468, 4.468 and 7.733 Å and the angles 90.00°, 90.00° and 90.00°. The asymmetric unit holds Ho at (0.250, 0.250, 0.183), Ag at (0.250, 0.750, 0.500) and Bi at (0.250, 0.250, 0.775).

The value obtained for the volume is 154.38 Å³ per cell. The value obtained for the total energy is -0.1529 hartree per atom. As for the crystal system: tetragonal.


Record 4
A plane-wave DFT calculation with PBE was carried out for a relaxed structure of HoMgAgBi.

The structure belongs to space group F-43m (No. 216); the cell edges are 7.358, 7.358 and 7.358 Å and the angles 90.00°, 90.00° and 90.00°. The asymmetric unit holds Ho at (0.000, 0.000, 0.000), Mg at (0.000, 0.000, 0.500), Ag at (0.250, 0.250, 0.750) and Bi at (0.250, 0.250, 0.250).

The value obtained for the volume is 398.30 Å³ per cell. The value obtained for the total energy is -0.1277 hartree per atom. As for the crystal system: cubic.